1.
Material: As3RhN
Method: DFT, PBE
State: relaxed

a b c (Å): 4.2533 4.2533 4.2533
angles (deg): 90.00 90.00 90.00
With the nearest neighbours (Å) after each atom.
Fractional positions:
As 0.0000 0.5000 0.0000  2 N 2.13
As 0.0000 0.0000 0.5000  2 N 2.13
As 0.5000 0.0000 0.0000  2 N 2.13
Rh 0.5000 0.5000 0.5000  12 As 3.01
N 0.0000 0.0000 0.0000  6 As 2.13

Calculated values
ΔE to the lowest computed polymorph (kcal/mol of atoms): 0.00
SG: No. 221

2.
Material: AsRhN2
Method: DFT, PBE
State: relaxed

a b c (Å): 6.2583 6.2583 6.2583
angles (deg): 28.66 28.66 28.66
With the nearest neighbours (Å) after each atom.
Fractional positions:
As 0.0000 0.0000 0.0000  2 N 1.97
Rh 0.5000 0.5000 0.5000  6 N 2.06
N 0.8905 0.8905 0.8905  1 As 1.97, 3 Rh 2.06
N 0.1095 0.1095 0.1095  1 As 1.97, 3 Rh 2.06

Calculated values
SG: No. 166

Number 1: ΔE_f (raw) 0.6620 eV per atom, D(E_F) 3.89 states/eV/f.u.. Number 2: ΔE_f (raw) 0.7180 eV per atom, D(E_F) 3.18 states/eV/f.u..